1.
Material: La4Ce2Te3N2
Method: DFT, PBE
State: relaxed

Summary:
- Magnetic moment: 3.0 μB/cell
- Uncorrected formation energy: -13.6 eV/f.u.
- Total energy: -71.3 eV per formula unit
- Crystal system: tetragonal

abc: 13.825 13.825 13.825
angles: 160.01 160.01 28.42
Fractional coordinates of all 11 atoms:
La 0.085 0.585 0.500
La 0.415 0.915 0.500
La 0.585 0.085 0.500
La 0.915 0.415 0.500
Ce 0.195 0.195 0.000
Ce 0.805 0.805 0.000
Te 0.321 0.321 0.000
Te 0.500 0.500 0.000
Te 0.679 0.679 0.000
N 0.113 0.113 0.000
N 0.887 0.887 0.000

---

2.
Material: La2Ce3ThN6
Method: DFT, PBE
State: relaxed

Summary:
- Magnetic moment: 0.2 μB/cell
- Uncorrected formation energy: -17.6 eV/f.u.
- Total energy: -102.7 eV per formula unit
- Crystal system: monoclinic

abc: 8.139 8.139 7.292
angles: 103.12 103.12 25.80
Fractional coordinates of all 12 atoms:
La 0.167 0.167 0.334
La 0.833 0.833 0.666
Ce 0.167 0.167 0.833
Ce 0.500 0.500 0.500
Ce 0.833 0.833 0.167
Th 0.500 0.500 0.000
N 0.005 0.005 0.755
N 0.335 0.335 0.934
N 0.339 0.339 0.402
N 0.661 0.661 0.598
N 0.665 0.665 0.066
N 0.995 0.995 0.245

---

3.
Material: La2CeTh3N6
Method: DFT, PBE
State: relaxed

Summary:
- Magnetic moment: 0.1 μB/cell
- Uncorrected formation energy: -18.1 eV/f.u.
- Total energy: -106.1 eV per formula unit
- Crystal system: monoclinic

abc: 6.374 6.374 6.361
angles: 99.60 99.60 120.00
Fractional coordinates of all 12 atoms:
La 0.167 0.833 0.000
La 0.833 0.167 0.000
Ce 0.500 0.500 0.000
Th 0.000 0.000 0.500
Th 0.334 0.666 0.500
Th 0.666 0.334 0.500
N 0.092 0.412 0.735
N 0.269 0.269 0.267
N 0.412 0.092 0.735
N 0.588 0.908 0.265
N 0.731 0.731 0.733
N 0.908 0.588 0.265

---

4.
Material: La4Ce3TiN8
Method: DFT, PBE
State: relaxed

Summary:
- Magnetic moment: 0.0 μB/cell
- Uncorrected formation energy: -21.8 eV/f.u.
- Total energy: -133.8 eV per formula unit
- Crystal system: trigonal

abc: 7.189 7.189 7.189
angles: 59.19 59.19 59.19
Fractional coordinates of all 16 atoms:
La 0.000 0.000 0.000
La 0.000 0.500 0.500
La 0.500 0.000 0.500
La 0.500 0.500 0.000
Ce 0.000 0.000 0.500
Ce 0.000 0.500 0.000
Ce 0.500 0.000 0.000
Ti 0.500 0.500 0.500
N 0.241 0.241 0.241
N 0.259 0.727 0.727
N 0.273 0.273 0.741
N 0.273 0.741 0.273
N 0.727 0.259 0.727
N 0.727 0.727 0.259
N 0.741 0.273 0.273
N 0.759 0.759 0.759

---

5.
Material: LaCeTiN4
Method: DFT, PBE
State: relaxed

Summary:
- Magnetic moment: 0.0 μB/cell
- Uncorrected formation energy: -8.6 eV/f.u.
- Total energy: -60.7 eV per formula unit
- Crystal system: orthorhombic

abc: 6.831 6.831 5.593
angles: 90.00 90.00 131.81
Fractional coordinates of all 14 atoms:
La 0.108 0.892 0.750
La 0.892 0.108 0.250
Ce 0.393 0.607 0.750
Ce 0.607 0.393 0.250
Ti 0.243 0.757 0.250
Ti 0.757 0.243 0.750
N 0.000 0.500 0.000
N 0.000 0.500 0.500
N 0.085 0.915 0.250
N 0.434 0.566 0.250
N 0.500 0.000 0.000
N 0.500 0.000 0.500
N 0.566 0.434 0.750
N 0.915 0.085 0.750

---

6.
Material: La2CeTlN
Method: DFT, PBE
State: relaxed

Summary:
- Magnetic moment: 0.9 μB/cell
- Uncorrected formation energy: -4.0 eV/f.u.
- Total energy: -30.5 eV per formula unit
- Crystal system: tetragonal

abc: 5.153 5.153 4.917
angles: 90.00 90.00 90.00
Fractional coordinates of all 5 atoms:
La 0.000 0.500 0.000
La 0.500 0.000 0.000
Ce 0.000 0.000 0.500
Tl 0.500 0.500 0.500
N 0.000 0.000 0.000

---

7.
Material: LaCe2TlN
Method: DFT, PBE
State: relaxed

Summary:
- Magnetic moment: 1.8 μB/cell
- Uncorrected formation energy: -3.9 eV/f.u.
- Total energy: -31.4 eV per formula unit
- Crystal system: tetragonal

abc: 4.927 4.927 5.162
angles: 90.00 90.00 90.00
Fractional coordinates of all 5 atoms:
La 0.000 0.000 0.000
Ce 0.000 0.500 0.500
Ce 0.500 0.000 0.500
Tl 0.500 0.500 0.000
N 0.000 0.000 0.500

---

8.
Material: La3Ce2UN6
Method: DFT, PBE
State: relaxed

Summary:
- Magnetic moment: 0.0 μB/cell
- Uncorrected formation energy: -17.4 eV/f.u.
- Total energy: -105.3 eV per formula unit
- Crystal system: monoclinic

abc: 6.233 6.233 6.300
angles: 99.48 99.48 119.93
Fractional coordinates of all 12 atoms:
La 0.000 0.000 0.000
La 0.332 0.668 0.000
La 0.668 0.332 0.000
Ce 0.166 0.834 0.500
Ce 0.834 0.166 0.500
U 0.500 0.500 0.500
N 0.123 0.430 0.291
N 0.263 0.263 0.714
N 0.430 0.123 0.291
N 0.570 0.877 0.709
N 0.737 0.737 0.286
N 0.877 0.570 0.709